Record 1
VASP calculation (SCAN) on a PBEsol-optimized structure of ZrOsAu.

Cell and atoms, written as POSCAR:
```
ZrOsAu
1.0
2.711 0.000 0.000
0.000 4.647 0.000
0.000 -2.324 4.025
Au Os Zr
1 1 1
direct
0.989 0.000 0.000
0.661 0.667 0.333
0.351 0.333 0.667
```

Computed properties:
Formation energy   -0.091 eV per atom

=====

Record 2
VASP calculation (SCAN) on a PBEsol-optimized structure of MnIn2Br.

Cell and atoms, written as POSCAR:
```
MnIn2Br
1.0
-2.613 0.204 -1.915
-2.463 -3.513 2.987
-1.974 4.040 3.124
Br In Mn
1 2 1
direct
0.000 0.500 0.500
0.000 0.000 0.000
0.500 0.000 0.500
0.500 0.500 0.000
```

Computed properties:
Formation energy without anion corrections   -26 meV per atom
Energy above the most stable polymorph in this dataset   136 meV per atom

=====

| no. | density (g/cm³) |
| --- | --- |
| 1 | 15.7 |
| 2 | 6.5 |